No. 1
Material: ReNiTe2
Method: DFT, PBE
State: optimized geometry

a b c (Å): 3.4102 2.8882 8.5238
angles (deg): 106.45 90.00 90.00
Fractional coordinates of all 4 atoms:
Ni 0.5000 0.2500 0.2500
Re 0.5000 0.7500 0.7500
Te 0.0000 0.9322 0.0156
Te 0.0000 0.5678 0.4844

Properties
Uncorrected energy in eV per atom: -5.38
Uncorrected formation energy in eV per atom: 0.7438
Space group: P2/m (10)
D(E_F) in states/eV per cell: 4.2


No. 2
Material: SiSb2Cl
Method: DFT, PBE
State: optimized geometry

a b c (Å): 6.1840 6.1840 6.1840
angles (deg): 145.26 133.24 59.55
Fractional coordinates of all 4 atoms:
Cl 0.2500 0.7500 0.5000
Sb 0.9482 0.9482 0.0000
Sb 0.5518 0.5518 0.0000
Si 0.7500 0.2500 0.5000

Properties
Uncorrected energy in eV per atom: -3.68
Uncorrected formation energy in eV per atom: 0.1941
Space group: Immm (71)
D(E_F) in states/eV per cell: 1.3


No. 3
Material: Ge2BrCl
Method: DFT, PBE
State: optimized geometry

a b c (Å): 7.8067 7.8067 6.3910
angles (deg): 52.36 52.36 90.00
Fractional coordinates of all 8 atoms:
Ge 0.6168 0.1250 0.2500
Ge 0.1332 0.6250 0.2500
Ge 0.3750 0.3832 0.7500
Ge 0.8750 0.8668 0.7500
Br 0.0000 0.0000 0.0000
Br 0.7500 0.2500 0.5000
Cl 0.5000 0.5000 0.0000
Cl 0.2500 0.7500 0.5000

Properties
Uncorrected energy in eV per atom: -3.16
Uncorrected formation energy in eV per atom: 0.0311
Space group: I-42d (122)
D(E_F) in states/eV per cell: 3.1